First-principles (GGA-PBE) data for an optimized crystal structure of Li2YClO, as listed in Alexandria via LeMat-Bulk.

For the energy relative to the elements, uncorrected, the calculation gives -4.11 eV/f.u. As for the magnetic moment: 0.00 μB/atom.

a = 3.9245 Å, b = 3.9245 Å, c = 6.8408 Å
α = 90.00°, β = 90.00°, γ = 90.00°
Last column: nearest neighbours and their distance in Å.
Space group P4/mmm (No. 123)
Inequivalent atoms, fractional coordinates:
Li (0.0000, 0.5000, 0.0000) x2  2 Cl 1.96
Y (0.0000, 0.0000, 0.5000) x1  4 O 2.78
Cl (0.5000, 0.5000, 0.0000) x1  4 Li 1.96
O (0.5000, 0.5000, 0.5000) x1  4 Y 2.78

=====

First-principles (GGA-PBE) data for an optimized crystal structure of LiZnClO, as listed in Alexandria via LeMat-Bulk.

For the energy relative to the elements, uncorrected, the calculation gives -5.73 eV/f.u. As for the magnetic moment: 0.00 μB/atom.

a = 3.2677 Å, b = 3.2677 Å, c = 16.8852 Å
α = 90.00°, β = 90.00°, γ = 120.00°
Last column: nearest neighbours and their distance in Å.
Space group R3m (No. 160, hexagonal axes)
Inequivalent atoms, fractional coordinates:
Li (0.0000, 0.0000, 0.0000) x3  3 O 2.25, 3 Cl 2.52
Zn (0.0000, 0.0000, 0.4566) x3  3 O 2.07
Cl (0.0000, 0.0000, 0.2340) x3  3 Li 2.52, 3 Zn 2.66
O (0.0000, 0.0000, 0.7397) x3  3 Zn 2.07, 3 Li 2.25